RbCdIn4 | GGA-PBE | optimized geometry

Computed properties:
total magnetization = 0.0 Bohr magnetons per cell
energy above the most stable polymorph in this dataset = 0.0000 eV per atom
formation enthalpy at 0 K = -0.063 eV per atom
symmetry = C2/m (12)

Lattice parameters (Å, degrees): 6.9769 6.9769 8.9287 106.82 106.82 67.23
Closest atoms and distances in Å follow each position.
Fractional coordinates of all 12 atoms:
Rb  0.1847  0.1847  0.2841  1 Cd 3.61, 10 In 3.72-4.04
Rb  0.8153  0.8153  0.7159  1 Cd 3.61, 10 In 3.72-4.04
Cd  0.4100  0.4100  0.6821  5 In 2.92-3.02
Cd  0.5900  0.5900  0.3179  5 In 2.92-3.02
In  0.1857  0.1857  0.7598  1 Cd 2.92, 4 In 3.09-3.15
In  0.1917  0.5978  0.0658  1 Cd 3.02, 5 In 3.06-3.35
In  0.2382  0.7618  0.5000  2 Cd 3.00, 2 In 3.15
In  0.4022  0.8083  0.9342  1 Cd 3.02, 5 In 3.06-3.35
In  0.5978  0.1917  0.0658  1 Cd 3.02, 5 In 3.06-3.35
In  0.7618  0.2382  0.5000  2 Cd 3.00, 2 In 3.15
In  0.8083  0.4022  0.9342  1 Cd 3.02, 5 In 3.06-3.35
In  0.8143  0.8143  0.2402  1 Cd 2.92, 4 In 3.09-3.15

Dy2PtBr2 | GGA-PBE | optimized geometry

Computed properties:
ΔE_f (raw) = -1.513 eV/atom
total magnetization = 0.0 Bohr magnetons per cell
symmetry = R-3m (166)

Lattice parameters (Å, degrees): 11.2590 11.2590 11.2590 20.44 20.44 20.44
Closest atoms and distances in Å follow each position.
Fractional coordinates of all 5 atoms:
Dy  0.1170  0.1170  0.1170  3 Pt 2.83, 3 Br 3.00
Dy  0.8830  0.8830  0.8830  3 Pt 2.83, 3 Br 3.00
Pt  0.5000  0.5000  0.5000  6 Dy 2.83
Br  0.2742  0.2742  0.2742  3 Dy 3.00
Br  0.7258  0.7258  0.7258  3 Dy 3.00

Nd3PuAu4 | GGA-PBE | optimized geometry

Computed properties:
total magnetization = 5.7 Bohr magnetons per cell
formation enthalpy at 0 K = -0.671 eV per atom
symmetry = P4/mmm (123)

Lattice parameters (Å, degrees): 3.6953 3.6953 14.8043 90.00 90.00 90.00
Closest atoms and distances in Å follow each position.
Fractional coordinates of all 8 atoms:
Nd  0.0000  0.0000  0.0000  8 Au 3.21
Nd  0.0000  0.0000  0.2532  8 Au 3.18-3.22
Nd  0.0000  0.0000  0.7468  8 Au 3.18-3.22
Pu  0.0000  0.0000  0.5000  8 Au 3.20
Au  0.5000  0.5000  0.1255  8 Nd 3.21-3.22
Au  0.5000  0.5000  0.3753  4 Nd 3.18, 4 Pu 3.20
Au  0.5000  0.5000  0.6247  4 Nd 3.18, 4 Pu 3.20
Au  0.5000  0.5000  0.8745  8 Nd 3.21-3.22